DFT (PBE) results for a relaxed LaIrSe2 crystal.

Cell lengths 4.7217, 4.7217, 3.7044 Å; angles 90.00, 90.00, 90.00 degrees
Space group P4/mmm (No. 123)
Asymmetric unit:
La  0.0000  0.0000  0.0000 x1
Ir  0.5000  0.5000  0.0000 x1
Se  0.0000  0.5000  0.5000 x2

Results
Energy relative to the lowest polymorph listed for this composition   284 meV/atom
E   -23.5 eV per formula unit

---

DFT (PBE) results for a relaxed LaIrSe2 crystal.

Cell lengths 3.4835, 3.4835, 6.8818 Å; angles 90.00, 90.00, 90.00 degrees
Space group P4/mmm (No. 123)
Asymmetric unit:
La  0.0000  0.0000  0.0000 x1
Ir  0.0000  0.0000  0.5000 x1
Se  0.5000  0.5000  0.2813 x2

Results
Energy relative to the lowest polymorph listed for this composition   755 meV/atom
E   -21.6 eV per formula unit

---

DFT (PBE) results for a relaxed La2IrSe crystal.

Cell lengths 3.6324, 3.6324, 7.5023 Å; angles 90.00, 90.00, 90.00 degrees
Space group P4/mmm (No. 123)
Asymmetric unit:
La  0.0000  0.0000  0.2333 x2
Ir  0.5000  0.5000  0.0000 x1
Se  0.5000  0.5000  0.5000 x1

Results
Energy relative to the lowest polymorph listed for this composition   186 meV/atom
E   -26.9 eV per formula unit

---

DFT (PBE) results for a relaxed LaIrSe2 crystal.

Cell lengths 5.1921, 5.1921, 15.5445 Å; angles 90.00, 90.00, 90.00 degrees
Space group I-42d (No. 122)
Asymmetric unit:
La  0.0000  0.0000  0.0000 x4
Ir  0.0000  0.0000  0.5000 x4
Se  0.1726  0.2500  0.6250 x8

Results
Energy relative to the lowest polymorph listed for this composition   272 meV/atom
E   -23.6 eV per formula unit

---

DFT (PBE) results for a relaxed LaIrSe2 crystal.

Cell lengths 4.0211, 7.0011, 6.9904 Å; angles 90.00, 90.00, 90.00 degrees
Space group Cmmm (No. 65)
Asymmetric unit:
La  0.0000  0.0000  0.0000 x2
Ir  0.0000  0.0000  0.5000 x2
Se  0.0000  0.5000  0.2905 x4

Results
Energy relative to the lowest polymorph listed for this composition   432 meV/atom
E   -22.9 eV per formula unit

---

DFT (PBE) results for a relaxed LaIrSe crystal.

Cell lengths 4.6172, 5.7823, 10.2248 Å; angles 90.00, 90.00, 90.00 degrees
Space group Fmm2 (No. 42)
Asymmetric unit:
La  0.0000  0.0000  0.0000 x4
Ir  0.0000  0.0000  0.6858 x4
Se  0.0000  0.0000  0.2875 x4

Results
Energy relative to the lowest polymorph listed for this composition   637 meV/atom
E   -18.6 eV per formula unit

---

DFT (PBE) results for a relaxed La2IrSe crystal.

Cell lengths 4.5159, 4.0244, 11.6566 Å; angles 90.00, 90.00, 90.00 degrees
Space group Amm2 (No. 38)
Asymmetric unit:
La  0.0000  0.0000  0.0000 x2
La  0.5000  0.0000  0.2692 x2
Ir  0.0000  0.0000  0.7678 x2
Se  0.5000  0.0000  0.5399 x2

Results
Energy relative to the lowest polymorph listed for this composition   146 meV/atom
E   -27.1 eV per formula unit

---

DFT (PBE) results for a relaxed LaIrSe2 crystal.

Cell lengths 4.1799, 3.8528, 6.1319 Å; angles 90.00, 107.76, 90.00 degrees
Space group P2/m (No. 10)
Asymmetric unit:
La  0.0000  0.0000  0.0000 x1
Ir  0.5000  0.0000  0.5000 x1
Se  0.4039  0.5000  0.7286 x2

Results
Energy relative to the lowest polymorph listed for this composition   131 meV/atom
E   -24.1 eV per formula unit

---

DFT (PBE) results for a relaxed LaIrSe2 crystal.

Cell lengths 6.9736, 6.9736, 6.9736 Å; angles 90.00, 90.00, 90.00 degrees
Space group Fm-3m (No. 225)
Asymmetric unit:
La  0.0000  0.0000  0.0000 x4
Ir  0.0000  0.0000  0.5000 x4
Se  0.2500  0.2500  0.2500 x8

Results
Energy relative to the lowest polymorph listed for this composition   454 meV/atom
E   -22.8 eV per formula unit

---

DFT (PBE) results for a relaxed La3IrSe2 crystal.

Cell lengths 8.7268, 12.2829, 25.4931 Å; angles 90.00, 90.00, 90.00 degrees
Space group Fddd (No. 70, origin choice 2)
Asymmetric unit:
La  0.1033  0.3750  0.3750 x16
La  0.1138  0.3667  0.2129 x32
Ir  0.1250  0.1250  0.0411 x16
Se  0.1250  0.1250  0.3776 x16
Se  0.1250  0.1250  0.5449 x16

Results
E   -40.1 eV per formula unit

---

DFT (PBE) results for a relaxed La2IrSe crystal.

Cell lengths 3.8141, 3.9202, 14.8378 Å; angles 90.00, 90.00, 90.00 degrees
Space group Imm2 (No. 44)
Asymmetric unit:
La  0.0000  0.0000  0.0000 x2
La  0.0000  0.5000  0.2319 x2
Ir  0.0000  0.0000  0.5849 x2
Se  0.0000  0.5000  0.8299 x2

Results
Energy relative to the lowest polymorph listed for this composition   208 meV/atom
E   -26.8 eV per formula unit

---

DFT (PBE) results for a relaxed LaIrSe crystal.

Cell lengths 6.8923, 6.8923, 6.8923 Å; angles 90.00, 90.00, 90.00 degrees
Space group F-43m (No. 216)
Asymmetric unit:
La  0.0000  0.0000  0.0000 x4
Ir  0.2500  0.2500  0.7500 x4
Se  0.2500  0.2500  0.2500 x4

Results
Energy relative to the lowest polymorph listed for this composition   926 meV/atom
E   -17.7 eV per formula unit

---

Number 1: formation energy (no corrections) -66.6 kJ per mole of atoms. Number 2: formation energy (no corrections) -21.2 kJ per mole of atoms. Number 3: formation energy (no corrections) -113.4 kJ per mole of atoms. Number 4: formation energy (no corrections) -67.7 kJ per mole of atoms. Number 5: formation energy (no corrections) -52.4 kJ per mole of atoms. Number 6: formation energy (no corrections) -42.0 kJ per mole of atoms. Number 7: formation energy (no corrections) -117.2 kJ per mole of atoms. Number 8: formation energy (no corrections) -81.4 kJ per mole of atoms. Number 9: formation energy (no corrections) -50.2 kJ per mole of atoms. Number 10: formation energy (no corrections) -152.0 kJ per mole of atoms. Number 11: formation energy (no corrections) -111.2 kJ per mole of atoms. Number 12: formation energy (no corrections) -14.1 kJ per mole of atoms.